## CoPt2O6 (GGA+U)

Data for CoPt2O6 after structural relaxation.

```
CoPt2O6
1.0
5.218 0.000 0.000
-2.609 4.519 0.000
0.000 0.000 4.248
Co Pt O
1 2 6
direct
0.000 0.000 0.000
0.333 0.667 0.500
0.667 0.333 0.500
0.000 0.344 0.251
0.000 0.656 0.749
0.344 0.000 0.251
0.344 0.344 0.749
0.656 0.000 0.749
0.656 0.656 0.251
```

ρ = 9.0 g cm⁻³
Spin magnetization = 0.55 μB per atom
Final energy = -5.715 eV/atom